Entry from the Alexandria database: an optimized crystal structure of TbAl3ZnNi (PBE).

Output
**Total magnetic moment**: 0.00 μB per formula unit
**Total DFT energy (no corrections)**: -49.27 eV/cell
**Formation energy from the elements**: -0.287 eV/atom

a = 5.7671 Å, b = 5.9792 Å, c = 6.8765 Å
α = 115.77°, β = 90.00°, γ = 90.00°
With the nearest neighbours (Å) after each atom.
Element x y z (fractional)
Al1 0.7500 0.8661 0.7322  1 Ni 2.57, 1 Zn 2.62, 4 Al 2.78
Al2 0.0000 0.2838 0.0000  2 Ni 2.41, 1 Al 2.59
Zn1 0.7500 0.6547 0.3094  5 Al 2.62-2.72
Al3 0.5000 0.2838 0.0000  2 Ni 2.41, 1 Al 2.59
Al4 0.5000 0.7162 0.0000  2 Ni 2.41, 1 Al 2.59
Tb1 0.7500 0.2851 0.5702  1 Ni 2.62
Zn2 0.2500 0.3453 0.6906  5 Al 2.62-2.72
Al5 0.2500 0.1339 0.2678  1 Ni 2.57, 1 Zn 2.62, 4 Al 2.78
Tb2 0.2500 0.7149 0.4298  1 Ni 2.62
Ni1 0.2500 0.9262 0.8524  5 Al 2.41-2.57, 1 Tb 2.62
Ni2 0.7500 0.0738 0.1476  5 Al 2.41-2.57, 1 Tb 2.62
Al6 0.0000 0.7162 0.0000  2 Ni 2.41, 1 Al 2.59



Entry from the Alexandria database: an optimized crystal structure of Tb2AlZn12Ni3 (PBE).

Output
**Total magnetic moment**: 0.00 μB per formula unit
**Total DFT energy (no corrections)**: -46.43 eV/cell
**Formation energy from the elements**: -0.044 eV/atom

a = 6.6675 Å, b = 6.6675 Å, c = 6.6675 Å
α = 84.60°, β = 84.60°, γ = 84.60°
With the nearest neighbours (Å) after each atom.
Element x y z (fractional)
Tb1 0.7545 0.7545 0.7545  3 Ni 2.77, 6 Zn 3.03-3.10, 1 Al 3.09
Zn1 0.5720 0.1559 0.5720  6 Zn 2.52-2.73
Ni1 0.0000 0.5000 0.0000  2 Zn 2.56, 2 Tb 2.77
Zn2 0.2861 0.8015 0.8015  5 Zn 2.52-2.68, 1 Al 2.55, 1 Ni 2.56
Zn3 0.8015 0.8015 0.2861  5 Zn 2.52-2.68, 1 Al 2.55, 1 Ni 2.56
Ni2 0.0000 0.0000 0.5000  2 Zn 2.56, 2 Tb 2.77
Zn4 0.1559 0.5720 0.5720  6 Zn 2.52-2.73
Ni3 0.5000 0.0000 0.0000  2 Zn 2.56, 2 Tb 2.77
Tb2 0.2455 0.2455 0.2455  3 Ni 2.77, 6 Zn 3.03-3.10, 1 Al 3.09
Zn5 0.7139 0.1985 0.1985  5 Zn 2.52-2.68, 1 Al 2.55, 1 Ni 2.56
Zn6 0.5720 0.5720 0.1559  6 Zn 2.52-2.73
Zn7 0.8441 0.4280 0.4280  6 Zn 2.52-2.73
Zn8 0.1985 0.7139 0.1985  5 Zn 2.52-2.68, 1 Al 2.55, 1 Ni 2.56
Zn9 0.1985 0.1985 0.7139  5 Zn 2.52-2.68, 1 Al 2.55, 1 Ni 2.56
Zn10 0.4280 0.4280 0.8441  6 Zn 2.52-2.73
Al1 0.0000 0.0000 0.0000  6 Zn 2.55
Zn11 0.4280 0.8441 0.4280  6 Zn 2.52-2.73
Zn12 0.8015 0.2861 0.8015  5 Zn 2.52-2.68, 1 Al 2.55, 1 Ni 2.56



Entry from the Alexandria database: an optimized crystal structure of Al4TcNi (PBE).

Output
**Total magnetic moment**: 0.00 μB per formula unit
**E above lowest polymorph**: 0.0000 eV per atom
**Total DFT energy (no corrections)**: -64.75 eV/cell
**Formation energy from the elements**: -0.209 eV/atom

a = 5.7423 Å, b = 5.7424 Å, c = 5.9825 Å
α = 90.00°, β = 90.00°, γ = 90.00°
With the nearest neighbours (Å) after each atom.
Element x y z (fractional)
Al1 0.2500 0.2500 0.7603  2 Ni 2.49, 2 Tc 2.56
Al2 0.7500 0.2500 0.2397  2 Ni 2.49, 2 Tc 2.56
Al3 0.2500 0.7500 0.2397  2 Ni 2.49, 2 Tc 2.56
Tc1 0.5000 0.0000 0.5000  8 Al 2.56
Al4 0.7500 0.2500 0.7603  2 Ni 2.49, 2 Tc 2.56
Al5 0.2500 0.7500 0.7603  2 Ni 2.49, 2 Tc 2.56
Al6 0.7500 0.7500 0.2397  2 Ni 2.49, 2 Tc 2.56
Al7 0.7500 0.7500 0.7603  2 Ni 2.49, 2 Tc 2.56
Al8 0.2500 0.2500 0.2397  2 Ni 2.49, 2 Tc 2.56
Ni1 0.5000 0.5000 0.0000  8 Al 2.49
Tc2 0.0000 0.5000 0.5000  8 Al 2.56
Ni2 0.0000 0.0000 0.0000  8 Al 2.49